[1]
DFT (GGA-PBE) results for crystalline AlOs at its relaxed geometry.

CIF file:
```
data_AlOs
_chemical_formula_sum 'Al8 Os8'
_cell_length_a 7.7456
_cell_length_b 7.7456
_cell_length_c 4.2936
_cell_angle_alpha 90.00
_cell_angle_beta 90.00
_cell_angle_gamma 90.00
_space_group_name_H-M_alt 'P 1'
_space_group_IT_number 1
_space_group_name_Hall 'P 1'
loop_
_atom_site_label
_atom_site_type_symbol
_atom_site_fract_x
_atom_site_fract_y
_atom_site_fract_z
_atom_site_occupancy
Os1 Os 0.3362 0.3362 0.5000 1
Os2 Os 0.1638 0.1638 0.0000 1
Al1 Al 0.0000 0.2669 0.5000 1
Os3 Os 0.8362 0.8362 0.0000 1
Os4 Os 0.3362 0.6638 0.5000 1
Os5 Os 0.8362 0.1638 0.0000 1
Al2 Al 0.7331 0.0000 0.5000 1
Os6 Os 0.1638 0.8362 0.0000 1
Os7 Os 0.6638 0.3362 0.5000 1
Al3 Al 0.7669 0.5000 0.0000 1
Al4 Al 0.2669 0.0000 0.5000 1
Al5 Al 0.0000 0.7331 0.5000 1
Os8 Os 0.6638 0.6638 0.5000 1
Al6 Al 0.5000 0.2331 0.0000 1
Al7 Al 0.5000 0.7669 0.0000 1
Al8 Al 0.2331 0.5000 0.0000 1
```

electronic total energy	-120.73	eV per cell
Fermi-level density of states	6.4	states/eV/cell
magnetic moment	0.00	μB/cell
SG	I4/mmm (139)
energy of formation from the pure elements	-0.059	eV/atom

[2]
DFT (GGA-PBE) results for crystalline CdReW at its relaxed geometry.

CIF file:
```
data_CdReW
_chemical_formula_sum 'Cd1 Re1 W1'
_cell_length_a 2.8705
_cell_length_b 2.8705
_cell_length_c 7.1846
_cell_angle_alpha 90.00
_cell_angle_beta 90.00
_cell_angle_gamma 120.00
_space_group_name_H-M_alt 'P 1'
_space_group_IT_number 1
_space_group_name_Hall 'P 1'
loop_
_atom_site_label
_atom_site_type_symbol
_atom_site_fract_x
_atom_site_fract_y
_atom_site_fract_z
_atom_site_occupancy
W1 W 0.3333 0.6667 0.6453 1
Cd1 Cd 0.0000 0.0000 0.0030 1
Re1 Re 0.6667 0.3333 0.3517 1
```

electronic total energy	-24.90	eV per cell
Fermi-level density of states	3.7	states/eV/cell
magnetic moment	0.00	μB/cell
SG	P3m1 (156)
energy of formation from the pure elements	0.471	eV/atom

[3]
DFT (GGA-PBE) results for crystalline MnAlPdAu at its relaxed geometry.

CIF file:
```
data_MnAlPdAu
_chemical_formula_sum 'Mn1 Al1 Pd1 Au1'
_cell_length_a 4.4469
_cell_length_b 4.4469
_cell_length_c 4.4469
_cell_angle_alpha 60.00
_cell_angle_beta 60.00
_cell_angle_gamma 60.00
_space_group_name_H-M_alt 'P 1'
_space_group_IT_number 1
_space_group_name_Hall 'P 1'
loop_
_atom_site_label
_atom_site_type_symbol
_atom_site_fract_x
_atom_site_fract_y
_atom_site_fract_z
_atom_site_occupancy
Al1 Al 0.2500 0.2500 0.2500 1
Pd1 Pd 0.5000 0.5000 0.5000 1
Mn1 Mn 0.7500 0.7500 0.7500 1
Au1 Au 0.0000 0.0000 0.0000 1
```

electronic total energy	-23.02	eV per cell
Fermi-level density of states	2.1	states/eV/cell
magnetic moment	4.17	μB/cell
SG	F-43m (216)
energy of formation from the pure elements	-0.409	eV/atom

[4]
DFT (GGA-PBE) results for crystalline RbSn3Cl8 at its relaxed geometry.

CIF file:
```
data_RbSn3Cl8
_chemical_formula_sum 'Rb1 Sn3 Cl8'
_cell_length_a 5.3892
_cell_length_b 10.2428
_cell_length_c 9.1236
_cell_angle_alpha 116.61
_cell_angle_beta 107.12
_cell_angle_gamma 74.90
_space_group_name_H-M_alt 'P 1'
_space_group_IT_number 1
_space_group_name_Hall 'P 1'
loop_
_atom_site_label
_atom_site_type_symbol
_atom_site_fract_x
_atom_site_fract_y
_atom_site_fract_z
_atom_site_occupancy
Cl1 Cl 0.3196 0.3523 0.4970 1
Cl2 Cl 0.5616 0.9835 0.6085 1
Cl3 Cl 0.4299 0.5860 0.9475 1
Cl4 Cl 0.9855 0.2871 0.7621 1
Sn1 Sn 0.4902 0.7910 0.2709 1
Sn2 Sn 0.7924 0.3044 0.3969 1
Rb1 Rb 0.2059 0.7964 0.7103 1
Cl5 Cl 0.3390 0.9810 0.1538 1
Cl6 Cl 0.0131 0.7666 0.2934 1
Cl7 Cl 0.6594 0.2469 0.0707 1
Cl8 Cl 0.7035 0.5836 0.4939 1
Sn3 Sn 0.4982 0.2908 0.7917 1
```

electronic total energy	-41.23	eV per cell
formation energy (no corrections)	-1.123	eV/atom
Fermi-level density of states	1.6	states/eV/cell
magnetic moment	0.00	μB/cell
SG	P1 (1)

> What is the formula in the third record?

MnAlPdAu

Copy entry 1 word for word.
DFT (GGA-PBE) results for crystalline AlOs at its relaxed geometry.

CIF file:
```
data_AlOs
_chemical_formula_sum 'Al8 Os8'
_cell_length_a 7.7456
_cell_length_b 7.7456
_cell_length_c 4.2936
_cell_angle_alpha 90.00
_cell_angle_beta 90.00
_cell_angle_gamma 90.00
_space_group_name_H-M_alt 'P 1'
_space_group_IT_number 1
_space_group_name_Hall 'P 1'
loop_
_atom_site_label
_atom_site_type_symbol
_atom_site_fract_x
_atom_site_fract_y
_atom_site_fract_z
_atom_site_occupancy
Os1 Os 0.3362 0.3362 0.5000 1
Os2 Os 0.1638 0.1638 0.0000 1
Al1 Al 0.0000 0.2669 0.5000 1
Os3 Os 0.8362 0.8362 0.0000 1
Os4 Os 0.3362 0.6638 0.5000 1
Os5 Os 0.8362 0.1638 0.0000 1
Al2 Al 0.7331 0.0000 0.5000 1
Os6 Os 0.1638 0.8362 0.0000 1
Os7 Os 0.6638 0.3362 0.5000 1
Al3 Al 0.7669 0.5000 0.0000 1
Al4 Al 0.2669 0.0000 0.5000 1
Al5 Al 0.0000 0.7331 0.5000 1
Os8 Os 0.6638 0.6638 0.5000 1
Al6 Al 0.5000 0.2331 0.0000 1
Al7 Al 0.5000 0.7669 0.0000 1
Al8 Al 0.2331 0.5000 0.0000 1
```

electronic total energy	-120.73	eV per cell
Fermi-level density of states	6.4	states/eV/cell
magnetic moment	0.00	μB/cell
SG	I4/mmm (139)
energy of formation from the pure elements	-0.059	eV/atom